Here is TmPF after structural relaxation from Alexandria via LeMat-Bulk. Energies are from PBE-GGA.

The space group is I4mm (No. 107) and the conventional cell measures 3.184, 3.184 and 9.777 Å, with angles of 90.00, 90.00 and 90.00 degrees. The asymmetric unit holds Tm at (0.000, 0.000, 0.000), P at (0.000, 0.000, 0.305) and F at (0.000, 0.000, 0.586).

The calculation puts the spin magnetization at 0.00 μB per atom. The value obtained for the energy relative to the lowest polymorph listed for this composition is 572 meV per atom. As for the volume: 16.52 Å³/atom. The value obtained for the uncorrected formation energy is -1768 meV/atom.